Below is a relaxed structure of CoPtSe2, with properties calculated at the PBEsol level.

Results
Offset from the most stable computed form, meV per atom: 322
Uncorrected formation energy, eV/atom: 0.2336
Total DFT energy (no corrections), eV per cell: -21.47
Spin magnetization, μB/cell: 0.6
Symmetry: P4/mmm, No. 123

Unit cell a=4.381 b=4.381 c=3.138 alpha=90.00 beta=90.00 gamma=90.00
Fractional coordinates of all 4 atoms:
Co  0.000  0.000  0.000
Pt  0.500  0.500  0.000
Se  0.000  0.500  0.500
Se  0.500  0.000  0.500

=====

Below is a relaxed structure of Co2Si2Pt, with properties calculated at the PBEsol level.

Results
Uncorrected formation energy, eV/atom: -0.5914
Total DFT energy (no corrections), eV per cell: -73.78
Spin magnetization, μB/cell: 0.0
Symmetry: P4/mbm, No. 127

Unit cell a=6.594 b=6.594 c=2.660 alpha=90.00 beta=90.00 gamma=90.00
Fractional coordinates of all 10 atoms:
Co  0.142  0.358  0.000
Co  0.358  0.858  0.000
Co  0.642  0.142  0.000
Co  0.858  0.642  0.000
Si  0.150  0.650  0.500
Si  0.350  0.150  0.500
Si  0.650  0.850  0.500
Si  0.850  0.350  0.500
Pt  0.000  0.000  0.500
Pt  0.500  0.500  0.500

=====

Below is a relaxed structure of CoSiPt, with properties calculated at the PBEsol level.

Results
Uncorrected formation energy, eV/atom: -0.5696
Total DFT energy (no corrections), eV per cell: -88.62
Spin magnetization, μB/cell: 0.0
Symmetry: F-43m, No. 216

Unit cell a=5.447 b=5.447 c=5.447 alpha=90.00 beta=90.00 gamma=90.00
Fractional coordinates of all 12 atoms:
Co  0.000  0.000  0.000
Co  0.000  0.500  0.500
Co  0.500  0.000  0.500
Co  0.500  0.500  0.000
Si  0.250  0.250  0.250
Si  0.250  0.750  0.750
Si  0.750  0.250  0.750
Si  0.750  0.750  0.250
Pt  0.000  0.000  0.500
Pt  0.000  0.500  0.000
Pt  0.500  0.000  0.000
Pt  0.500  0.500  0.500

=====

Below is a relaxed structure of CoSi2Pt, with properties calculated at the PBEsol level.

Results
Uncorrected formation energy, eV/atom: -0.2414
Total DFT energy (no corrections), eV per cell: -27.16
Spin magnetization, μB/cell: 0.4
Symmetry: P2/m, No. 10

Unit cell a=2.800 b=3.847 c=4.957 alpha=90.00 beta=96.37 gamma=90.00
Fractional coordinates of all 4 atoms:
Co  0.000  0.000  0.000
Si  0.326  0.500  0.213
Si  0.674  0.500  0.787
Pt  0.500  0.000  0.500

=====

Below is a relaxed structure of CoSiPt3, with properties calculated at the PBEsol level.

Results
Uncorrected formation energy, eV/atom: 0.6503
Total DFT energy (no corrections), eV per cell: -31.12
Spin magnetization, μB/cell: 2.3
Symmetry: Pm-3m, No. 221

Unit cell a=4.425 b=4.425 c=4.425 alpha=90.00 beta=90.00 gamma=90.00
Fractional coordinates of all 5 atoms:
Co  0.000  0.000  0.000
Si  0.500  0.500  0.500
Pt  0.000  0.500  0.500
Pt  0.500  0.000  0.500
Pt  0.500  0.500  0.000

=====

Below is a relaxed structure of Co3SnPt, with properties calculated at the PBEsol level.

Results
Total DFT energy (no corrections), eV per cell: -28.70
Spin magnetization, μB/cell: 6.2
Symmetry: Pm-3m, No. 221
E_form, meV per atom: 1146

Unit cell a=4.544 b=4.544 c=4.544 alpha=90.00 beta=90.00 gamma=90.00
Fractional coordinates of all 5 atoms:
Co  0.000  0.000  0.500
Co  0.000  0.500  0.000
Co  0.500  0.000  0.000
Sn  0.500  0.500  0.500
Pt  0.000  0.000  0.000

=====

Below is a relaxed structure of SrCo2Pt, with properties calculated at the PBEsol level.

Results
Total DFT energy (no corrections), eV per cell: -23.49
Spin magnetization, μB/cell: 3.2
Symmetry: P4mm, No. 99
E_form, meV per atom: 197

Unit cell a=3.013 b=3.013 c=7.172 alpha=90.00 beta=90.00 gamma=90.00
Fractional coordinates of all 4 atoms:
Sr  0.000  0.000  0.000
Co  0.000  0.000  0.465
Co  0.500  0.500  0.324
Pt  0.500  0.500  0.686

=====

Below is a relaxed structure of SrCo2Pt, with properties calculated at the PBEsol level.

Results
Total DFT energy (no corrections), eV per cell: -44.70
Spin magnetization, μB/cell: 6.6
Symmetry: I4/mmm, No. 139
E_form, meV per atom: 482

Unit cell a=4.491 b=4.491 c=6.325 alpha=90.00 beta=90.00 gamma=90.00
Fractional coordinates of all 8 atoms:
Sr  0.000  0.000  0.000
Sr  0.500  0.500  0.500
Co  0.000  0.500  0.250
Co  0.000  0.500  0.750
Co  0.500  0.000  0.250
Co  0.500  0.000  0.750
Pt  0.000  0.000  0.500
Pt  0.500  0.500  0.000

=====

Below is a relaxed structure of SrCoTc2Pt, with properties calculated at the PBEsol level.

Results
Total DFT energy (no corrections), eV per cell: -23.62
Spin magnetization, μB/cell: 6.3
Symmetry: P4/mmm, No. 123
E_form, meV per atom: 3091

Unit cell a=4.732 b=4.732 c=4.938 alpha=90.00 beta=90.00 gamma=90.00
Fractional coordinates of all 5 atoms:
Sr  0.000  0.000  0.000
Co  0.500  0.500  0.500
Tc  0.000  0.500  0.000
Tc  0.500  0.000  0.000
Pt  0.000  0.000  0.500

=====

Below is a relaxed structure of Sr2YCoPt, with properties calculated at the PBEsol level.

Results
Total DFT energy (no corrections), eV per cell: -23.39
Spin magnetization, μB/cell: 1.6
Symmetry: P4/mmm, No. 123
E_form, meV per atom: 363

Unit cell a=5.705 b=5.705 c=4.713 alpha=90.00 beta=90.00 gamma=90.00
Fractional coordinates of all 5 atoms:
Sr  0.000  0.500  0.000
Sr  0.500  0.000  0.000
Y  0.000  0.000  0.500
Co  0.500  0.500  0.500
Pt  0.500  0.500  0.000

=====

Below is a relaxed structure of TaCo2Pt, with properties calculated at the PBEsol level.

Results
Offset from the most stable computed form, meV per atom: 63
Total DFT energy (no corrections), eV per cell: -73.16
Spin magnetization, μB/cell: 3.3
Symmetry: I-4m2, No. 119
E_form, meV per atom: -398

Unit cell a=3.701 b=3.701 c=7.618 alpha=90.00 beta=90.00 gamma=90.00
Fractional coordinates of all 8 atoms:
Ta  0.000  0.000  0.000
Ta  0.500  0.500  0.500
Co  0.000  0.000  0.500
Co  0.000  0.500  0.250
Co  0.500  0.000  0.750
Co  0.500  0.500  0.000
Pt  0.000  0.500  0.750
Pt  0.500  0.000  0.250

=====

Below is a relaxed structure of TaCo2Pt, with properties calculated at the PBEsol level.

Results
Offset from the most stable computed form, meV per atom: 286
Total DFT energy (no corrections), eV per cell: -35.69
Spin magnetization, μB/cell: 3.1
Symmetry: P4mm, No. 99
E_form, meV per atom: -176

Unit cell a=2.743 b=2.743 c=7.050 alpha=90.00 beta=90.00 gamma=90.00
Fractional coordinates of all 4 atoms:
Ta  0.000  0.000  0.000
Co  0.000  0.000  0.456
Co  0.500  0.500  0.259
Pt  0.500  0.500  0.711

=====

Below is a relaxed structure of TaCo4Pt, with properties calculated at the PBEsol level.

Results
Total DFT energy (no corrections), eV per cell: -52.01
Spin magnetization, μB/cell: 4.3
Symmetry: F-43m, No. 216
E_form, meV per atom: -258

Unit cell a=4.665 b=4.665 c=4.665 alpha=60.00 beta=60.00 gamma=60.00
Fractional coordinates of all 6 atoms:
Ta  0.000  0.000  0.000
Co  0.376  0.376  0.376
Co  0.376  0.376  0.873
Co  0.376  0.873  0.376
Co  0.873  0.376  0.376
Pt  0.750  0.750  0.750

=====

Below is a relaxed structure of TaCo2Pt, with properties calculated at the PBEsol level.

Results
Offset from the most stable computed form, meV per atom: 0
Total DFT energy (no corrections), eV per cell: -36.83
Spin magnetization, μB/cell: 0.7
Symmetry: P4/mmm, No. 123
E_form, meV per atom: -461

Unit cell a=3.788 b=3.788 c=3.580 alpha=90.00 beta=90.00 gamma=90.00
Fractional coordinates of all 4 atoms:
Ta  0.000  0.000  0.000
Co  0.000  0.500  0.500
Co  0.500  0.000  0.500
Pt  0.500  0.500  0.000

=====

Below is a relaxed structure of TaCo2Pt, with properties calculated at the PBEsol level.

Results
Offset from the most stable computed form, meV per atom: 461
Total DFT energy (no corrections), eV per cell: -69.98
Spin magnetization, μB/cell: 4.4
Symmetry: C2/m, No. 12
E_form, meV per atom: 0

Unit cell a=5.263 b=8.570 c=2.667 alpha=90.00 beta=115.91 gamma=90.00
Fractional coordinates of all 8 atoms:
Ta  0.000  0.000  0.000
Ta  0.500  0.500  0.000
Co  0.250  0.250  0.500
Co  0.250  0.750  0.500
Co  0.750  0.250  0.500
Co  0.750  0.750  0.500
Pt  0.000  0.500  0.000
Pt  0.500  0.000  0.000